1.
Density functional theory data (GGA-PBE) for a relaxed Na8BiAu2 crystal.

Unit cell a=8.844 b=8.844 c=7.905 alpha=116.47 beta=116.47 gamma=33.44
Element x y z (fractional)
Na 0.001 0.001 0.205
Na 0.155 0.155 0.658
Na 0.339 0.339 0.619
Na 0.341 0.341 0.059
Na 0.659 0.659 0.941
Na 0.661 0.661 0.381
Na 0.845 0.845 0.342
Na 0.999 0.999 0.795
Bi 0.500 0.500 0.500
Au 0.186 0.186 0.185
Au 0.814 0.814 0.815

Calculated values
SG: C2/m, No. 12
E_form in eV/atom: -0.252
Calculated volume in Å³ per cell: 302
Magnetic moment in μB/f.u.: 0.00
DFT total energy in eV/atom: -2.16



2.
Density functional theory data (GGA-PBE) for a relaxed SmScS2 crystal.

Unit cell a=6.976 b=6.976 c=6.976 alpha=31.40 beta=31.40 gamma=31.40
Element x y z (fractional)
Sm 0.000 0.000 0.000
Sc 0.177 0.177 0.177
S 0.579 0.579 0.579
S 0.763 0.763 0.763

Calculated values
Uncorrected formation energy in meV per atom: -1919.0
SG: R3m, No. 160
Relative energy among the computed polymorphs in meV/atom: 12
Calculated volume in Å³ per cell: 82
Magnetic moment in μB/f.u.: 0.00
DFT total energy in eV/atom: -6.75



> Which of these has the highest calculated volume?

Na8BiAu2